[1]
Below is a geometry-optimized V4GaOs5 structure, with properties calculated at the PBE level.

```
V4GaOs5
1.0
3.019 0.000 0.000
0.000 3.019 0.000
0.000 0.000 15.187
V Ga Os
4 1 5
Direct
0.000 0.000 0.199
0.000 0.000 0.399
0.000 0.000 0.601
0.000 0.000 0.801
0.000 0.000 0.000
0.500 0.500 0.103
0.500 0.500 0.303
0.500 0.500 0.500
0.500 0.500 0.697
0.500 0.500 0.897
```

The density of states at the Fermi level is 8.2 states/eV per cell. The formation energy is -0.243 eV per atom. The space-group type is P4/mmm (123). For the total energy, the calculation gives -9.808 eV per atom.

[2]
Below is a geometry-optimized Tb2Pr5NdEr structure, with properties calculated at the PBE level.

```
Tb2Pr5NdEr
1.0
9.491 0.000 0.000
0.000 9.491 0.000
-4.746 -4.746 7.108
Tb Pr Nd Er
4 10 2 2
Direct
0.108 0.392 0.000
0.608 0.108 0.000
0.392 0.892 0.000
0.892 0.608 0.000
0.930 0.430 0.265
0.665 0.165 0.735
0.070 0.570 0.735
0.165 0.070 0.735
0.570 0.665 0.735
0.835 0.930 0.265
0.430 0.335 0.265
0.335 0.835 0.265
0.500 0.500 0.000
0.000 0.000 0.000
0.250 0.250 0.500
0.750 0.750 0.500
0.250 0.750 0.500
0.750 0.250 0.500
```

The density of states at the Fermi level is 27.7 states/eV per cell. The formation energy is 0.289 eV per atom. The space-group type is I4/mcm (140). For the total energy, the calculation gives -4.432 eV per atom.

[3]
Below is a geometry-optimized CaRuC3 structure, with properties calculated at the PBE level.

```
CaRuC3
1.0
-3.970 -0.552 0.147
0.385 -3.354 -2.166
0.421 -2.130 3.373
Ru Ca C
1 1 3
Direct
0.000 0.000 0.000
0.500 0.500 0.500
0.000 0.500 0.000
0.000 0.000 0.500
0.500 0.000 0.000
```

The density of states at the Fermi level is 4.2 states/eV per cell. The formation energy is 1.305 eV per atom. For the excess energy over the best structure of this formula in the dataset, the calculation gives 0 meV per atom. The space-group type is Pm-3m (221). For the total energy, the calculation gives -6.484 eV per atom.

[4]
Below is a geometry-optimized LiNd2H6Ir structure, with properties calculated at the PBE level.

```
LiNd2H6Ir
1.0
-4.741 0.381 -1.417
0.461 -4.314 -2.703
-1.477 -0.193 4.890
Li Nd H Ir
1 2 6 1
Direct
0.500 0.000 0.000
0.251 0.333 0.667
0.749 0.667 0.333
0.778 0.159 0.319
0.778 0.159 0.841
0.778 0.681 0.841
0.222 0.841 0.159
0.222 0.319 0.159
0.222 0.841 0.681
0.000 0.000 0.000
```

The density of states at the Fermi level is 3.8 states/eV per cell. The space-group type is P-3m1 (164). For the total energy, the calculation gives -4.419 eV per atom.

[5]
Below is a geometry-optimized Li2ZnCo structure, with properties calculated at the PBE level.

```
Li2ZnCo
1.0
-2.505 1.750 -3.229
1.053 -1.592 -1.680
-3.123 -3.291 0.640
Co Li Zn
1 2 1
Direct
0.500 0.750 0.750
0.000 0.985 0.987
0.000 0.515 0.513
0.500 0.250 0.250
```

The density of states at the Fermi level is 1.4 states/eV per cell. The formation energy is 0.034 eV per atom. The space-group type is P2/m (10). For the total energy, the calculation gives -3.018 eV per atom.

[6]
Below is a geometry-optimized LaNi2Pb structure, with properties calculated at the PBE level.

```
LaNi2Pb
1.0
-1.501 -0.410 -3.110
3.049 -1.027 -1.336
1.590 -7.405 0.209
La Ni Pb
1 2 1
Direct
0.500 0.750 0.750
0.000 0.973 0.027
0.000 0.527 0.473
0.500 0.250 0.250
```

The density of states at the Fermi level is 2.5 states/eV per cell. The formation energy is -0.014 eV per atom. The space-group type is P2/m (10). For the total energy, the calculation gives -5.063 eV per atom.

[7]
Below is a geometry-optimized W2AuSe structure, with properties calculated at the PBE level.

```
W2AuSe
1.0
4.566 0.000 0.000
0.000 2.944 0.015
0.000 1.452 5.166
Au Se W
1 1 2
Direct
0.000 0.560 0.507
0.500 0.913 0.798
0.000 0.818 0.989
0.500 0.209 0.206
```

The density of states at the Fermi level is 2.3 states/eV per cell. The value obtained for the uncorrected formation energy is 47 kJ/mol of atoms. The space-group type is Pm (6). For the total energy, the calculation gives -7.680 eV per atom.

[8]
Below is a geometry-optimized LaEr2Ru structure, with properties calculated at the PBE level.

```
LaEr2Ru
1.0
-2.128 2.649 -0.450
-2.458 -2.151 -1.041
-2.906 -0.866 8.653
Ru Er La
1 2 1
Direct
0.500 0.500 0.000
0.000 0.000 0.824
0.000 0.000 0.176
0.500 0.500 0.500
```

The density of states at the Fermi level is 3.1 states/eV per cell. The formation energy is -0.266 eV per atom. For the excess energy over the best structure of this formula in the dataset, the calculation gives 47 meV per atom. The space-group type is P4/mmm (123). For the total energy, the calculation gives -6.098 eV per atom.

[9]
Below is a geometry-optimized Tc4IrCl structure, with properties calculated at the PBE level.

```
Tc4IrCl
1.0
0.000 3.636 3.636
3.636 0.000 3.636
3.636 3.636 0.000
Tc Ir Cl
4 1 1
Direct
0.874 0.375 0.375
0.375 0.375 0.874
0.375 0.874 0.375
0.375 0.375 0.375
0.000 0.000 0.000
0.750 0.750 0.750
```

The density of states at the Fermi level is 6.0 states/eV per cell. The value obtained for the uncorrected formation energy is 93 kJ/mol of atoms. The space-group type is F-43m (216). For the total energy, the calculation gives -7.736 eV per atom.

[10]
Below is a geometry-optimized Ho2Er2ZnGa4 structure, with properties calculated at the PBE level.

```
Ho2Er2ZnGa4
1.0
-4.435 4.662 1.133
-2.322 -5.709 -2.168
3.100 -2.353 5.249
Ho Er Zn Ga
2 2 1 4
Direct
0.000 0.688 0.688
0.000 0.312 0.312
0.500 0.750 0.250
0.500 0.250 0.750
0.000 0.000 0.000
0.000 0.753 0.247
0.506 0.753 0.753
0.000 0.247 0.753
0.494 0.247 0.247
```

The density of states at the Fermi level is 7.2 states/eV per cell. The formation energy is -0.268 eV per atom. The space-group type is I4/mmm (139). For the total energy, the calculation gives -3.786 eV per atom.

[11]
Below is a geometry-optimized RbCo3Cl structure, with properties calculated at the PBE level.

```
RbCo3Cl
1.0
4.986 0.000 0.000
0.000 4.986 0.000
0.000 0.000 4.986
Co Rb Cl
3 1 1
Direct
0.000 0.500 0.000
0.000 0.000 0.500
0.500 0.000 0.000
0.000 0.000 0.000
0.500 0.500 0.500
```

The density of states at the Fermi level is 8.8 states/eV per cell. The value obtained for the uncorrected formation energy is 236 kJ/mol of atoms. For the excess energy over the best structure of this formula in the dataset, the calculation gives 1297 meV per atom. The space-group type is Pm-3m (221). For the total energy, the calculation gives -2.380 eV per atom.